Record 1
Computed, not measured: a relaxed structure of LiCu at the PBEsol level of DFT.

Properties
Calculated volume   50.9 Å³/cell
ΔE_f   39.9 meV/atom
D(E_F)   1.30 states/eV per cell
M_tot   0.0 μB per formula unit

Lattice parameters (Å, degrees): 2.4532 4.2038 5.0836 90.00 103.96 90.00
Fractional positions:
Cu 0.4362 0.2500 0.8724
Cu 0.5638 0.7500 0.1276
Li 0.1708 0.2500 0.3416
Li 0.8292 0.7500 0.6584


Record 2
Computed, not measured: a relaxed structure of LiCa2Co at the PBEsol level of DFT.

Properties
Calculated volume   190.3 Å³/cell
ΔE_f   503.3 meV/atom
D(E_F)   6.86 states/eV per cell
M_tot   0.0 μB per formula unit

Lattice parameters (Å, degrees): 6.3216 6.3216 6.3216 104.90 104.90 119.06
Fractional positions:
Ca 0.9217 0.3750 0.0467
Ca 0.3283 0.8750 0.9533
Ca 0.1250 0.0783 0.4533
Ca 0.6250 0.6717 0.5467
Co 0.0000 0.0000 0.0000
Co 0.2500 0.7500 0.5000
Li 0.5000 0.5000 0.0000
Li 0.7500 0.2500 0.5000


> ΔE_f of number 2 (LiCa2Co)?

503.3 meV/atom